Record 1
Compound: Sm2ErMg3Tl2Cd
Source: OQMD via LeMat-Bulk
Functional: PBE
Structure: relaxed

Unit cell a=4.6707 b=7.5680 c=7.5680 alpha=119.10 beta=90.00 gamma=90.00
Closest atoms and distances in Å follow each position.
Element x y z (fractional)
Sm (0.0000, 0.2118, 0.7882)  1 Cd 3.25, 4 Tl 3.28, 4 Mg 3.45-3.62
Sm (0.0000, 0.7882, 0.2118)  1 Cd 3.25, 4 Tl 3.28, 4 Mg 3.45-3.62
Er (0.0000, 0.6375, 0.6375)  1 Cd 3.19, 4 Tl 3.22, 2 Mg 3.50
Mg (0.5000, 0.2134, 0.4542)  2 Cd 2.94, 2 Tl 2.96-2.97, 2 Mg 3.14-3.16
Mg (0.5000, 0.4542, 0.2134)  2 Cd 2.94, 2 Tl 2.96-2.97, 2 Mg 3.14-3.16
Mg (0.5000, 0.9771, 0.9771)  2 Tl 2.95, 2 Cd 3.00, 2 Mg 3.16
Tl (0.5000, 0.5481, 0.8758)  3 Mg 2.95-2.97, 2 Er 3.22, 4 Sm 3.28
Tl (0.5000, 0.8758, 0.5481)  3 Mg 2.95-2.97, 2 Er 3.22, 4 Sm 3.28
Cd (0.0000, 0.2219, 0.2219)  6 Mg 2.94-3.00, 1 Er 3.19, 2 Sm 3.25

- symmetry = Amm2 (38)
- VASP energy (eV per atom) = -3.029


Record 2
Compound: SmErTa2Si2
Source: OQMD via LeMat-Bulk
Functional: PBE
Structure: relaxed

Unit cell a=4.0054 b=4.0054 c=7.8396 alpha=90.00 beta=90.00 gamma=90.00
Closest atoms and distances in Å follow each position.
Element x y z (fractional)
Sm (0.0000, 0.0000, 0.0000)  5 Si 2.99-3.17
Er (0.5000, 0.5000, 0.7055)  5 Si 2.96-3.27
Ta (0.0000, 0.5000, 0.3590)  4 Si 2.72-2.73, 4 Ta 2.83
Ta (0.5000, 0.0000, 0.3590)  4 Si 2.72-2.73, 4 Ta 2.83
Si (0.0000, 0.0000, 0.5958)  4 Ta 2.73, 4 Er 2.96
Si (0.5000, 0.5000, 0.1233)  4 Ta 2.72, 4 Sm 2.99

- symmetry = P4mm (99)
- VASP energy (eV per atom) = -7.884


Record 3
Compound: ThPbW
Source: OQMD via LeMat-Bulk
Functional: PBE
Structure: relaxed

Unit cell a=4.8603 b=4.8603 c=4.8603 alpha=60.00 beta=60.00 gamma=60.00
Closest atoms and distances in Å follow each position.
Element x y z (fractional)
Th (0.0000, 0.0000, 0.0000)  4 W 2.98
Pb (0.5000, 0.5000, 0.5000)  4 W 2.98
W (0.7500, 0.7500, 0.7500)  4 Pb 2.98, 4 Th 2.98

- symmetry = F-43m (216)
- excess energy over the best structure of this formula in the dataset (eV per atom) = 0.000


Record 4
Compound: MgReGe
Source: OQMD via LeMat-Bulk
Functional: PBE
Structure: relaxed

Unit cell a=4.2190 b=4.2190 c=4.2190 alpha=60.00 beta=60.00 gamma=60.00
Closest atoms and distances in Å follow each position.
Element x y z (fractional)
Mg (0.0000, 0.0000, 0.0000)  4 Ge 2.58
Re (0.5000, 0.5000, 0.5000)  4 Ge 2.58
Ge (0.2500, 0.2500, 0.2500)  4 Re 2.58, 4 Mg 2.58

- symmetry = F-43m (216)
- excess energy over the best structure of this formula in the dataset (eV per atom) = 0.000


Record 5
Compound: NaZnCo2
Source: OQMD via LeMat-Bulk
Functional: PBE
Structure: relaxed

Unit cell a=4.2620 b=4.2620 c=4.2620 alpha=60.00 beta=60.00 gamma=60.00
Closest atoms and distances in Å follow each position.
Element x y z (fractional)
Na (0.0000, 0.0000, 0.0000)  4 Zn 2.61, 4 Co 2.61
Zn (0.7500, 0.7500, 0.7500)  4 Na 2.61, 4 Co 2.61
Co (0.2500, 0.2500, 0.2500)  4 Co 2.61, 4 Na 2.61
Co (0.5000, 0.5000, 0.5000)  4 Zn 2.61, 4 Co 2.61

- symmetry = F-43m (216)
- VASP energy (eV per atom) = -3.701


Record 6
Compound: Pm3Zn2Hg4
Source: OQMD via LeMat-Bulk
Functional: PBE
Structure: relaxed

Unit cell a=6.0389 b=6.0389 c=9.0987 alpha=114.10 beta=114.10 gamma=47.23
Closest atoms and distances in Å follow each position.
Element x y z (fractional)
Pm (0.0000, 0.0000, 0.0000)  8 Hg 3.24-3.46, 4 Zn 3.35, 2 Pm 3.61
Pm (0.3374, 0.3374, 0.3334)  8 Hg 3.26-3.38, 4 Zn 3.28-3.35, 2 Pm 3.52-3.61
Pm (0.6626, 0.6626, 0.6666)  8 Hg 3.26-3.38, 4 Zn 3.28-3.35, 2 Pm 3.52-3.61
Zn (0.3868, 0.3868, 0.7162)  3 Hg 2.72-2.74
Zn (0.6132, 0.6132, 0.2838)  3 Hg 2.72-2.74
Hg (0.0676, 0.0676, 0.3913)  2 Zn 2.74, 1 Hg 2.96
Hg (0.2882, 0.2882, 0.9414)  1 Zn 2.72, 2 Hg 2.92
Hg (0.7118, 0.7118, 0.0586)  1 Zn 2.72, 2 Hg 2.92
Hg (0.9324, 0.9324, 0.6087)  2 Zn 2.74, 1 Hg 2.96

- symmetry = C2/m (12)
- ΔH_f (0 K) (meV per atom) = -424.1


Record 7
Compound: NdB12
Source: OQMD via LeMat-Bulk
Functional: PBE
Structure: relaxed

Unit cell a=5.3429 b=5.3429 c=5.3429 alpha=60.00 beta=60.00 gamma=60.00
Closest atoms and distances in Å follow each position.
Element x y z (fractional)
Nd (0.0000, 0.0000, 0.0000)  24 B 2.81
B (0.1631, 0.5000, 0.5000)  5 B 1.74-1.80
B (0.1631, 0.5000, 0.8369)  5 B 1.74-1.80
B (0.1631, 0.8369, 0.5000)  5 B 1.74-1.80
B (0.5000, 0.1631, 0.5000)  5 B 1.74-1.80
B (0.5000, 0.1631, 0.8369)  5 B 1.74-1.80
B (0.5000, 0.5000, 0.1631)  5 B 1.74-1.80
B (0.5000, 0.5000, 0.8369)  5 B 1.74-1.80
B (0.5000, 0.8369, 0.1631)  5 B 1.74-1.80
B (0.5000, 0.8369, 0.5000)  5 B 1.74-1.80
B (0.8369, 0.1631, 0.5000)  5 B 1.74-1.80
B (0.8369, 0.5000, 0.1631)  5 B 1.74-1.80
B (0.8369, 0.5000, 0.5000)  5 B 1.74-1.80

- symmetry = Fm-3m (225)
- VASP energy (eV per atom) = -6.737


Record 8
Compound: RbAgO3
Source: OQMD via LeMat-Bulk
Functional: PBE
Structure: relaxed

Unit cell a=5.9318 b=8.3063 c=5.8786 alpha=90.00 beta=90.00 gamma=90.00
Closest atoms and distances in Å follow each position.
Element x y z (fractional)
Rb (0.0129, 0.2500, 0.0028)  12 O 2.82-3.11
Rb (0.4871, 0.7500, 0.5028)  12 O 2.82-3.11
Rb (0.5129, 0.2500, 0.4972)  12 O 2.82-3.11
Rb (0.9871, 0.7500, 0.9972)  12 O 2.82-3.11
Ag (0.0000, 0.0000, 0.5000)  6 O 2.09
Ag (0.0000, 0.5000, 0.5000)  6 O 2.09
Ag (0.5000, 0.0000, 0.0000)  6 O 2.09
Ag (0.5000, 0.5000, 0.0000)  6 O 2.09
O (0.0373, 0.2500, 0.5022)  2 Ag 2.09
O (0.2419, 0.5101, 0.2420)  2 Ag 2.09
O (0.2419, 0.9899, 0.2420)  2 Ag 2.09
O (0.2581, 0.0101, 0.7420)  2 Ag 2.09
O (0.2581, 0.4899, 0.7420)  2 Ag 2.09
O (0.4627, 0.7500, 0.0022)  2 Ag 2.09
O (0.5373, 0.2500, 0.9978)  2 Ag 2.09
O (0.7419, 0.5101, 0.2580)  2 Ag 2.09
O (0.7419, 0.9899, 0.2580)  2 Ag 2.09
O (0.7581, 0.0101, 0.7580)  2 Ag 2.09
O (0.7581, 0.4899, 0.7580)  2 Ag 2.09
O (0.9627, 0.7500, 0.4978)  2 Ag 2.09

- symmetry = Pnma (62)
- VASP energy (eV per atom) = -3.721